The following is a GGA-PBE calculation of an optimized crystal structure of NpH2I6, from Alexandria via LeMat-Bulk.

Summary:
The volume is 414.4 Å³/f.u. As for the calculated total energy: -0.1309 Ha/atom. The density is 4.01 g/cm³.

a = 24.897 Å, b = 15.247 Å, c = 4.390 Å
α = 90.00°, β = 95.99°, γ = 90.00°
Space group C2/c (No. 15)
Unique sites:
Np 0.000 0.224 0.250
H 0.240 0.027 0.630
I 0.075 0.144 0.794
I 0.078 0.366 0.293
I 0.240 0.117 0.415

---

The following is a GGA-PBE calculation of an optimized crystal structure of Pu2ZrGe3, from Alexandria via LeMat-Bulk.

Summary:
The volume is 141.7 Å³/f.u. The density is 9.34 g/cm³. The energy of formation from the pure elements comes out at -0.360 eV/atom.

a = 3.907 Å, b = 5.719 Å, c = 12.681 Å
α = 90.00°, β = 90.00°, γ = 90.00°
Space group Immm (No. 71)
Unique sites:
Pu 0.000 0.000 0.172
Zr 0.000 0.000 0.500
Ge 0.000 0.500 0.154
Ge 0.000 0.500 0.500

---

The following is a GGA-PBE calculation of an optimized crystal structure of Ta2FeSb, from Alexandria via LeMat-Bulk.

Summary:
The volume is 69.7 Å³/f.u. The density is 12.85 g/cm³. For the energy relative to the elements, uncorrected, the calculation gives 0.17 eV per atom.

a = 5.704 Å, b = 7.471 Å, c = 3.271 Å
α = 90.00°, β = 90.00°, γ = 90.00°
Space group Cmmm (No. 65)
Unique sites:
Ta 0.250 0.250 0.000
Fe 0.000 0.000 0.500
Sb 0.000 0.500 0.500

---

The following is a GGA-PBE calculation of an optimized crystal structure of Tb3Dy3Cd2, from Alexandria via LeMat-Bulk.

Summary:
The volume is 238.8 Å³/f.u. The density is 8.27 g/cm³. The energy of formation from the pure elements comes out at -0.055 eV/atom.

a = 5.248 Å, b = 11.671 Å, c = 15.597 Å
α = 90.00°, β = 90.00°, γ = 90.00°
Space group Cmcm (No. 63)
Unique sites:
Tb 0.000 0.041 0.106
Tb 0.000 0.263 0.250
Dy 0.000 0.356 0.032
Dy 0.000 0.455 0.750
Cd 0.000 0.226 0.639

---

The following is a GGA-PBE calculation of an optimized crystal structure of TbZn3Cd9, from Alexandria via LeMat-Bulk.

Summary:
The volume is 270.7 Å³/f.u. The density is 8.38 g/cm³. The energy of formation from the pure elements comes out at -0.091 eV/atom.

a = 5.769 Å, b = 13.698 Å, c = 7.405 Å
α = 90.00°, β = 112.32°, γ = 90.00°
Space group C2/m (No. 12)
Unique sites:
Tb 0.000 0.000 0.000
Zn 0.000 0.500 0.500
Zn 0.250 0.250 0.000
Cd 0.000 0.000 0.500
Cd 0.098 0.391 0.213
Cd 0.174 0.175 0.341

---

The following is a GGA-PBE calculation of an optimized crystal structure of DyAlGePt3, from Alexandria via LeMat-Bulk.

Summary:
The volume is 125.3 Å³/f.u. The density is 11.23 g/cm³. The energy of formation from the pure elements comes out at -0.789 eV/atom.

a = 5.605 Å, b = 16.041 Å, c = 5.575 Å
α = 90.00°, β = 90.00°, γ = 90.00°
Space group Cmcm (No. 63)
Unique sites:
Dy 0.000 0.194 0.250
Al 0.000 0.404 0.750
Ge 0.000 0.097 0.750
Pt 0.000 0.251 0.750
Pt 0.250 0.000 0.000

---

The following is a GGA-PBE calculation of an optimized crystal structure of CaSb2C, from Alexandria via LeMat-Bulk.

Summary:
The volume is 98.2 Å³/f.u. The density is 5.00 g/cm³. For the energy relative to the elements, uncorrected, the calculation gives 0.33 eV per atom.

a = 6.994 Å, b = 6.994 Å, c = 8.034 Å
α = 90.00°, β = 90.00°, γ = 90.00°
Space group I-42d (No. 122)
Unique sites:
Ca 0.000 0.000 0.000
Sb 0.143 0.250 0.625
C 0.000 0.000 0.500

---

The following is a GGA-PBE calculation of an optimized crystal structure of KNd2DySe4, from Alexandria via LeMat-Bulk.

Summary:
The volume is 218.9 Å³/f.u. The density is 6.11 g/cm³. For the energy relative to the elements, uncorrected, the calculation gives -1.73 eV per atom.

a = 7.395 Å, b = 4.204 Å, c = 7.428 Å
α = 90.00°, β = 108.61°, γ = 90.00°
Space group P2/m (No. 10)
Unique sites:
K 0.000 0.000 0.000
Nd 0.500 0.000 0.500
Nd 0.500 0.500 0.000
Dy 0.000 0.500 0.500
Se 0.244 0.000 0.737
Se 0.257 0.500 0.267

---

The following is a GGA-PBE calculation of an optimized crystal structure of FeCuAuN, from Alexandria via LeMat-Bulk.

Summary:
The volume is 54.8 Å³/f.u. The density is 10.02 g/cm³. For the energy relative to the elements, uncorrected, the calculation gives 0.17 eV per atom.

a = 2.840 Å, b = 2.858 Å, c = 7.901 Å
α = 91.71°, β = 98.77°, γ = 119.45°
Space group P1 (No. 1)
Unique sites:
Fe 0.000 0.000 0.000
Cu 0.829 0.445 0.265
Au 0.667 0.890 0.544
N 0.621 0.310 0.925

---

The following is a GGA-PBE calculation of an optimized crystal structure of HoTcO4F, from Alexandria via LeMat-Bulk.

Summary:
The volume is 113.6 Å³/f.u. The density is 5.06 g/cm³. For the energy relative to the elements, uncorrected, the calculation gives -2.41 eV per atom.

a = 9.563 Å, b = 7.137 Å, c = 6.927 Å
α = 90.00°, β = 106.06°, γ = 90.00°
Space group C2/m (No. 12)
Unique sites:
Ho 0.199 0.000 0.090
Tc 0.147 0.500 0.294
O 0.043 0.500 0.765
O 0.208 0.317 0.150
O 0.250 0.000 0.455
F 0.010 0.000 0.826

---

The following is a GGA-PBE calculation of an optimized crystal structure of YMn2, from Alexandria via LeMat-Bulk.

Summary:
The volume is 59.0 Å³/f.u. The density is 5.59 g/cm³. The energy of formation from the pure elements comes out at 0.415 eV/atom.

a = 10.514 Å, b = 3.125 Å, c = 7.196 Å
α = 90.00°, β = 92.62°, γ = 90.00°
Space group Cm (No. 8)
Unique sites:
Y 0.000 0.000 0.000
Y 0.246 0.000 0.674
Mn 0.011 0.500 0.649
Mn 0.127 0.500 0.341
Mn 0.272 0.000 0.131
Mn 0.405 0.500 0.382

---

The following is a GGA-PBE calculation of an optimized crystal structure of Na2LiSc3Se6, from Alexandria via LeMat-Bulk.

Summary:
The volume is 271.3 Å³/f.u. The density is 4.05 g/cm³. For the energy relative to the elements, uncorrected, the calculation gives -1.58 eV per atom.

a = 6.794 Å, b = 11.766 Å, c = 7.154 Å
α = 90.00°, β = 108.42°, γ = 90.00°
Space group C2/m (No. 12)
Unique sites:
Na 0.000 0.166 0.000
Li 0.000 0.500 0.000
Sc 0.000 0.000 0.500
Sc 0.000 0.333 0.500
Se 0.236 0.500 0.726
Se 0.244 0.164 0.725

---

The following is a GGA-PBE calculation of an optimized crystal structure of HoLuZnCo, from Alexandria via LeMat-Bulk.

Summary:
The volume is 78.3 Å³/f.u. The density is 9.84 g/cm³. The energy of formation from the pure elements comes out at -0.266 eV/atom.

a = 6.792 Å, b = 6.792 Å, c = 6.792 Å
α = 90.00°, β = 90.00°, γ = 90.00°
Space group F-43m (No. 216)
Unique sites:
Ho 0.000 0.000 0.000
Lu 0.000 0.000 0.500
Zn 0.250 0.250 0.250
Co 0.250 0.250 0.750

---

The following is a GGA-PBE calculation of an optimized crystal structure of NiAs, from Alexandria via LeMat-Bulk.

Summary:
The volume is 30.8 Å³/f.u. The density is 7.20 g/cm³. The energy of formation from the pure elements comes out at -0.188 eV/atom.

a = 4.813 Å, b = 6.912 Å, c = 7.415 Å
α = 90.00°, β = 90.00°, γ = 90.00°
Space group P2_12_12_1 (No. 19)
Unique sites:
Ni 0.008 0.198 0.406
Ni 0.230 0.543 0.384
As 0.015 0.851 0.375
As 0.029 0.925 0.866

---

The following is a GGA-PBE calculation of an optimized crystal structure of AsPC, from Alexandria via LeMat-Bulk.

Summary:
The volume is 57.2 Å³/f.u. The density is 3.43 g/cm³. The energy of formation from the pure elements comes out at 0.544 eV/atom.

a = 12.944 Å, b = 3.141 Å, c = 2.811 Å
α = 90.00°, β = 90.53°, γ = 90.00°
Space group Cm (No. 8)
Unique sites:
As 0.000 0.000 0.000
P 0.273 0.500 0.490
C 0.353 0.500 0.993

---

The following is a GGA-PBE calculation of an optimized crystal structure of RbNaSb, from Alexandria via LeMat-Bulk.

Summary:
The volume is 115.9 Å³/f.u. The density is 3.30 g/cm³. For the energy relative to the elements, uncorrected, the calculation gives -0.25 eV per atom.

a = 5.928 Å, b = 6.187 Å, c = 6.823 Å
α = 90.00°, β = 112.08°, γ = 90.00°
Space group P2_1/m (No. 11)
Unique sites:
Rb 0.198 0.250 0.494
Na 0.425 0.250 0.070
Sb 0.133 0.750 0.086

---

The following is a GGA-PBE calculation of an optimized crystal structure of RbNaAg2F4, from Alexandria via LeMat-Bulk.

Summary:
The volume is 149.7 Å³/f.u. The density is 4.44 g/cm³. For the energy relative to the elements, uncorrected, the calculation gives -1.82 eV per atom.

a = 6.287 Å, b = 6.487 Å, c = 7.343 Å
α = 90.00°, β = 90.00°, γ = 90.00°
Space group I222 (No. 23)
Unique sites:
Rb 0.000 0.000 0.000
Na 0.000 0.000 0.500
Ag 0.000 0.500 0.200
F 0.213 0.192 0.322

---

The following is a GGA-PBE calculation of an optimized crystal structure of K3P2Pt, from Alexandria via LeMat-Bulk.

Summary:
The volume is 177.7 Å³/f.u. The density is 3.50 g/cm³. The energy of formation from the pure elements comes out at -0.460 eV/atom.

a = 10.052 Å, b = 9.718 Å, c = 7.279 Å
α = 90.00°, β = 90.31°, γ = 90.00°
Space group C2/c (No. 15)
Unique sites:
K 0.000 0.115 0.250
K 0.176 0.439 0.485
P 0.215 0.237 0.857
Pt 0.000 0.234 0.750

---

The following is a GGA-PBE calculation of an optimized crystal structure of LiCa2Zn2Ag5, from Alexandria via LeMat-Bulk.

Summary:
The volume is 204.4 Å³/f.u. The density is 6.15 g/cm³. The energy of formation from the pure elements comes out at -0.202 eV/atom.

a = 10.256 Å, b = 10.256 Å, c = 3.887 Å
α = 90.00°, β = 90.00°, γ = 90.00°
Space group P4/mbm (No. 127)
Unique sites:
Li 0.000 0.000 0.000
Ca 0.176 0.324 0.000
Zn 0.122 0.622 0.000
Ag 0.000 0.500 0.500
Ag 0.057 0.802 0.500

---

The following is a GGA-PBE calculation of an optimized crystal structure of Rb2DyGaI6, from Alexandria via LeMat-Bulk.

Summary:
The volume is 472.7 Å³/f.u. The density is 4.09 g/cm³. For the energy relative to the elements, uncorrected, the calculation gives -1.23 eV per atom.

a = 8.7374 Å, b = 8.7374 Å, c = 21.4469 Å
α = 90.00°, β = 90.00°, γ = 120.00°
Space group R3 (No. 146, hexagonal axes)
Unique sites:
Rb 0.0000 0.0000 0.0000
Rb 0.0000 0.0000 0.4931
Dy 0.0000 0.0000 0.7168
Ga 0.0000 0.0000 0.2204
I 0.0136 0.4264 0.4627
I 0.0935 0.7388 0.2996

---

The following is a GGA-PBE calculation of an optimized crystal structure of PrYAlCu, from Alexandria via LeMat-Bulk.

Summary:
The volume is 97.1 Å³/f.u. The density is 5.48 g/cm³. The energy of formation from the pure elements comes out at -0.239 eV/atom.

a = 7.296 Å, b = 7.296 Å, c = 7.296 Å
α = 90.00°, β = 90.00°, γ = 90.00°
Space group F-43m (No. 216)
Unique sites:
Pr 0.000 0.000 0.000
Y 0.000 0.000 0.500
Al 0.250 0.250 0.750
Cu 0.250 0.250 0.250

---

The following is a GGA-PBE calculation of an optimized crystal structure of NaAgOF2, from Alexandria via LeMat-Bulk.

Summary:
The volume is 74.7 Å³/f.u. The density is 4.11 g/cm³. For the energy relative to the elements, uncorrected, the calculation gives -0.65 eV per atom.

a = 4.165 Å, b = 4.165 Å, c = 4.305 Å
α = 90.00°, β = 90.00°, γ = 90.00°
Space group P4/mmm (No. 123)
Unique sites:
Na 0.000 0.000 0.000
Ag 0.500 0.500 0.500
O 0.000 0.000 0.500
F 0.000 0.500 0.000

---

The following is a GGA-PBE calculation of an optimized crystal structure of Be4CoOs, from Alexandria via LeMat-Bulk.

Summary:
The volume is 54.2 Å³/f.u. The density is 8.74 g/cm³. The energy of formation from the pure elements comes out at -0.265 eV/atom.

a = 6.006 Å, b = 6.006 Å, c = 6.006 Å
α = 90.00°, β = 90.00°, γ = 90.00°
Space group F-43m (No. 216)
Unique sites:
Be 0.124 0.124 0.124
Co 0.000 0.000 0.500
Os 0.250 0.250 0.750